--- P ---
## CrSbTe2 (meta-GGA SCAN)

Data for CrSbTe2 at its PBEsol-relaxed geometry.

Geometry as CIF:
```
data_CrSbTe2
_chemical_formula_sum 'Cr1 Sb1 Te2'
_cell_length_a 5.1586
_cell_length_b 5.1586
_cell_length_c 5.1586
_cell_angle_alpha 109.66
_cell_angle_beta 109.66
_cell_angle_gamma 109.10
_space_group_name_H-M_alt 'P 1'
_space_group_IT_number 1
loop_
_space_group_symop_operation_xyz
'x,y,z'
loop_
_atom_site_label
_atom_site_fract_x
_atom_site_fract_y
_atom_site_fract_z
_atom_site_occupancy
Cr1 0.0000 0.0000 0.0000 1
Sb1 0.5000 0.5000 0.0000 1
Te1 0.0000 0.5000 0.5000 1
Te2 0.5000 0.0000 0.5000 1
```

=====

--- Q ---
## CrSbTe2 (meta-GGA SCAN)

Data for CrSbTe2 at its PBEsol-relaxed geometry.

Geometry as CIF:
```
data_CrSbTe2
_chemical_formula_sum 'Cr1 Sb1 Te2'
_cell_length_a 5.0047
_cell_length_b 5.0047
_cell_length_c 6.5535
_cell_angle_alpha 110.20
_cell_angle_beta 110.20
_cell_angle_gamma 44.46
_space_group_name_H-M_alt 'P 1'
_space_group_IT_number 1
loop_
_space_group_symop_operation_xyz
'x,y,z'
loop_
_atom_site_label
_atom_site_fract_x
_atom_site_fract_y
_atom_site_fract_z
_atom_site_occupancy
Cr1 0.0000 0.0000 0.0000 1
Sb1 0.2860 0.2860 0.9963 1
Te1 0.4363 0.4363 0.6822 1
Te2 0.6096 0.6096 0.3126 1
```

=====

Most stable structure, least stable structure: Q, P.

=====

--- P ---
## ZnCrSb2Te (meta-GGA SCAN)

Data for ZnCrSb2Te at its PBEsol-relaxed geometry.

Geometry as CIF:
```
data_ZnCrSb2Te
_chemical_formula_sum 'Zn1 Cr1 Sb2 Te1'
_cell_length_a 5.0686
_cell_length_b 5.0686
_cell_length_c 5.2906
_cell_angle_alpha 90.00
_cell_angle_beta 90.00
_cell_angle_gamma 90.00
_space_group_name_H-M_alt 'P 1'
_space_group_IT_number 1
loop_
_space_group_symop_operation_xyz
'x,y,z'
loop_
_atom_site_label
_atom_site_fract_x
_atom_site_fract_y
_atom_site_fract_z
_atom_site_occupancy
Zn1 0.0000 0.0000 0.0000 1
Cr1 0.5000 0.5000 0.5000 1
Sb1 0.0000 0.5000 0.0000 1
Sb2 0.5000 0.0000 0.0000 1
Te1 0.0000 0.0000 0.5000 1
```

=====

--- Q ---
## ZnCrSb2Te (meta-GGA SCAN)

Data for ZnCrSb2Te at its PBEsol-relaxed geometry.

Geometry as CIF:
```
data_ZnCrSb2Te
_chemical_formula_sum 'Zn1 Cr1 Sb2 Te1'
_cell_length_a 4.9718
_cell_length_b 4.9718
_cell_length_c 5.0985
_cell_angle_alpha 90.00
_cell_angle_beta 90.00
_cell_angle_gamma 90.00
_space_group_name_H-M_alt 'P 1'
_space_group_IT_number 1
loop_
_space_group_symop_operation_xyz
'x,y,z'
loop_
_atom_site_label
_atom_site_fract_x
_atom_site_fract_y
_atom_site_fract_z
_atom_site_occupancy
Zn1 0.0000 0.0000 0.0000 1
Cr1 0.5000 0.5000 0.5000 1
Sb1 0.0000 0.5000 0.5000 1
Sb2 0.5000 0.0000 0.5000 1
Te1 0.5000 0.5000 0.0000 1
```

=====

Most stable structure, least stable structure: Q, P.

=====

--- P ---
## Tl2CrSb (meta-GGA SCAN)

Data for Tl2CrSb at its PBEsol-relaxed geometry.

Geometry as CIF:
```
data_Tl2CrSb
_chemical_formula_sum 'Tl2 Cr1 Sb1'
_cell_length_a 3.8993
_cell_length_b 3.8993
_cell_length_c 6.3541
_cell_angle_alpha 90.00
_cell_angle_beta 90.00
_cell_angle_gamma 90.00
_space_group_name_H-M_alt 'P 1'
_space_group_IT_number 1
loop_
_space_group_symop_operation_xyz
'x,y,z'
loop_
_atom_site_label
_atom_site_fract_x
_atom_site_fract_y
_atom_site_fract_z
_atom_site_occupancy
Tl1 0.0000 0.0000 0.2417 1
Tl2 0.0000 0.0000 0.7583 1
Cr1 0.5000 0.5000 0.0000 1
Sb1 0.5000 0.5000 0.5000 1
```

=====

--- Q ---
## Tl2CrSb (meta-GGA SCAN)

Data for Tl2CrSb at its PBEsol-relaxed geometry.

Geometry as CIF:
```
data_Tl2CrSb
_chemical_formula_sum 'Tl2 Cr1 Sb1'
_cell_length_a 5.1864
_cell_length_b 5.1864
_cell_length_c 5.1864
_cell_angle_alpha 60.00
_cell_angle_beta 60.00
_cell_angle_gamma 60.00
_space_group_name_H-M_alt 'P 1'
_space_group_IT_number 1
loop_
_space_group_symop_operation_xyz
'x,y,z'
loop_
_atom_site_label
_atom_site_fract_x
_atom_site_fract_y
_atom_site_fract_z
_atom_site_occupancy
Tl1 0.0000 0.0000 0.0000 1
Tl2 0.2500 0.2500 0.2500 1
Cr1 0.7500 0.7500 0.7500 1
Sb1 0.5000 0.5000 0.5000 1
```

=====

--- R ---
## Tl2CrSb (meta-GGA SCAN)

Data for Tl2CrSb at its PBEsol-relaxed geometry.

Geometry as CIF:
```
data_Tl2CrSb
_chemical_formula_sum 'Tl2 Cr1 Sb1'
_cell_length_a 10.1469
_cell_length_b 10.1469
_cell_length_c 10.1469
_cell_angle_alpha 18.89
_cell_angle_beta 18.89
_cell_angle_gamma 18.89
_space_group_name_H-M_alt 'P 1'
_space_group_IT_number 1
loop_
_space_group_symop_operation_xyz
'x,y,z'
loop_
_atom_site_label
_atom_site_fract_x
_atom_site_fract_y
_atom_site_fract_z
_atom_site_occupancy
Tl1 0.2414 0.2414 0.2414 1
Tl2 0.7586 0.7586 0.7586 1
Cr1 0.5000 0.5000 0.5000 1
Sb1 0.0000 0.0000 0.0000 1
```

=====

Most stable structure, least stable structure: Q, R.

=====

--- P ---
## ZrCrSb2 (meta-GGA SCAN)

Data for ZrCrSb2 at its PBEsol-relaxed geometry.

Geometry as CIF:
```
data_ZrCrSb2
_chemical_formula_sum 'Zr1 Cr1 Sb2'
_cell_length_a 3.2473
_cell_length_b 3.2473
_cell_length_c 7.1127
_cell_angle_alpha 90.00
_cell_angle_beta 90.00
_cell_angle_gamma 90.00
_space_group_name_H-M_alt 'P 1'
_space_group_IT_number 1
loop_
_space_group_symop_operation_xyz
'x,y,z'
loop_
_atom_site_label
_atom_site_fract_x
_atom_site_fract_y
_atom_site_fract_z
_atom_site_occupancy
Zr1 0.0000 0.0000 0.0000 1
Cr1 0.0000 0.0000 0.5000 1
Sb1 0.5000 0.5000 0.2829 1
Sb2 0.5000 0.5000 0.7171 1
```

=====

--- Q ---
## ZrCrSb2 (meta-GGA SCAN)

Data for ZrCrSb2 at its PBEsol-relaxed geometry.

Geometry as CIF:
```
data_ZrCrSb2
_chemical_formula_sum 'Zr1 Cr1 Sb2'
_cell_length_a 3.5164
_cell_length_b 3.5164
_cell_length_c 6.3429
_cell_angle_alpha 90.00
_cell_angle_beta 90.00
_cell_angle_gamma 90.00
_space_group_name_H-M_alt 'P 1'
_space_group_IT_number 1
loop_
_space_group_symop_operation_xyz
'x,y,z'
loop_
_atom_site_label
_atom_site_fract_x
_atom_site_fract_y
_atom_site_fract_z
_atom_site_occupancy
Zr1 0.0000 0.0000 0.0000 1
Cr1 0.5000 0.5000 0.2647 1
Sb1 0.0000 0.0000 0.4530 1
Sb2 0.5000 0.5000 0.7817 1
```

=====

--- R ---
## ZrCrSb2 (meta-GGA SCAN)

Data for ZrCrSb2 at its PBEsol-relaxed geometry.

Geometry as CIF:
```
data_ZrCrSb2
_chemical_formula_sum 'Zr1 Cr1 Sb2'
_cell_length_a 5.0369
_cell_length_b 5.0369
_cell_length_c 5.0369
_cell_angle_alpha 131.19
_cell_angle_beta 117.30
_cell_angle_gamma 83.27
_space_group_name_H-M_alt 'P 1'
_space_group_IT_number 1
loop_
_space_group_symop_operation_xyz
'x,y,z'
loop_
_atom_site_label
_atom_site_fract_x
_atom_site_fract_y
_atom_site_fract_z
_atom_site_occupancy
Zr1 0.0000 0.0000 0.0000 1
Cr1 0.5000 0.5000 0.0000 1
Sb1 0.2727 0.7727 0.5000 1
Sb2 0.7273 0.2273 0.5000 1
```

=====

Most stable structure, least stable structure: R, P.

=====

--- P ---
## ScCrTe2 (meta-GGA SCAN)

Data for ScCrTe2 at its PBEsol-relaxed geometry.

Geometry as CIF:
```
data_ScCrTe2
_chemical_formula_sum 'Sc1 Cr1 Te2'
_cell_length_a 3.9810
_cell_length_b 3.9810
_cell_length_c 5.8425
_cell_angle_alpha 90.00
_cell_angle_beta 90.00
_cell_angle_gamma 90.00
_space_group_name_H-M_alt 'P 1'
_space_group_IT_number 1
loop_
_space_group_symop_operation_xyz
'x,y,z'
loop_
_atom_site_label
_atom_site_fract_x
_atom_site_fract_y
_atom_site_fract_z
_atom_site_occupancy
Sc1 0.0000 0.0000 0.0000 1
Cr1 0.5000 0.5000 0.6166 1
Te1 0.0000 0.0000 0.5254 1
Te2 0.5000 0.5000 0.0970 1
```

=====

--- Q ---
## ScCrTe2 (meta-GGA SCAN)

Data for ScCrTe2 at its PBEsol-relaxed geometry.

Geometry as CIF:
```
data_ScCrTe2
_chemical_formula_sum 'Sc1 Cr1 Te2'
_cell_length_a 5.0335
_cell_length_b 5.0335
_cell_length_c 5.0335
_cell_angle_alpha 124.97
_cell_angle_beta 116.53
_cell_angle_gamma 88.86
_space_group_name_H-M_alt 'P 1'
_space_group_IT_number 1
loop_
_space_group_symop_operation_xyz
'x,y,z'
loop_
_atom_site_label
_atom_site_fract_x
_atom_site_fract_y
_atom_site_fract_z
_atom_site_occupancy
Sc1 0.0000 0.0000 0.0000 1
Cr1 0.5000 0.5000 0.0000 1
Te1 0.2661 0.7661 0.5000 1
Te2 0.7339 0.2339 0.5000 1
```

=====

Most stable structure, least stable structure: P, Q.

=====

--- P ---
## Y2ScCr (meta-GGA SCAN)

Data for Y2ScCr at its PBEsol-relaxed geometry.

Geometry as CIF:
```
data_Y2ScCr
_chemical_formula_sum 'Y2 Sc1 Cr1'
_cell_length_a 4.9802
_cell_length_b 4.9802
_cell_length_c 3.8797
_cell_angle_alpha 90.00
_cell_angle_beta 90.00
_cell_angle_gamma 90.00
_space_group_name_H-M_alt 'P 1'
_space_group_IT_number 1
loop_
_space_group_symop_operation_xyz
'x,y,z'
loop_
_atom_site_label
_atom_site_fract_x
_atom_site_fract_y
_atom_site_fract_z
_atom_site_occupancy
Y1 0.0000 0.5000 0.0000 1
Y2 0.5000 0.0000 0.0000 1
Sc1 0.0000 0.0000 0.5000 1
Cr1 0.5000 0.5000 0.5000 1
```

=====

--- Q ---
## Y2ScCr (meta-GGA SCAN)

Data for Y2ScCr at its PBEsol-relaxed geometry.

Geometry as CIF:
```
data_Y2ScCr
_chemical_formula_sum 'Y2 Sc1 Cr1'
_cell_length_a 5.1305
_cell_length_b 5.1305
_cell_length_c 5.1305
_cell_angle_alpha 60.00
_cell_angle_beta 60.00
_cell_angle_gamma 60.00
_space_group_name_H-M_alt 'P 1'
_space_group_IT_number 1
loop_
_space_group_symop_operation_xyz
'x,y,z'
loop_
_atom_site_label
_atom_site_fract_x
_atom_site_fract_y
_atom_site_fract_z
_atom_site_occupancy
Y1 0.0000 0.0000 0.0000 1
Y2 0.2500 0.2500 0.2500 1
Sc1 0.7500 0.7500 0.7500 1
Cr1 0.5000 0.5000 0.5000 1
```

=====

Most stable structure, least stable structure: P, Q.

=====

--- P ---
## Cr3Se (meta-GGA SCAN)

Data for Cr3Se at its PBEsol-relaxed geometry.

Geometry as CIF:
```
data_Cr3Se
_chemical_formula_sum 'Cr3 Se1'
_cell_length_a 4.7392
_cell_length_b 4.7392
_cell_length_c 4.7392
_cell_angle_alpha 137.54
_cell_angle_beta 137.54
_cell_angle_gamma 61.60
_space_group_name_H-M_alt 'P 1'
_space_group_IT_number 1
loop_
_space_group_symop_operation_xyz
'x,y,z'
loop_
_atom_site_label
_atom_site_fract_x
_atom_site_fract_y
_atom_site_fract_z
_atom_site_occupancy
Cr1 0.0000 0.0000 0.0000 1
Cr2 0.2500 0.7500 0.5000 1
Cr3 0.7500 0.2500 0.5000 1
Se1 0.5000 0.5000 0.0000 1
```

=====

--- Q ---
## Cr3Se (meta-GGA SCAN)

Data for Cr3Se at its PBEsol-relaxed geometry.

Geometry as CIF:
```
data_Cr3Se
_chemical_formula_sum 'Cr3 Se1'
_cell_length_a 2.9249
_cell_length_b 2.9249
_cell_length_c 5.7054
_cell_angle_alpha 90.00
_cell_angle_beta 90.00
_cell_angle_gamma 90.00
_space_group_name_H-M_alt 'P 1'
_space_group_IT_number 1
loop_
_space_group_symop_operation_xyz
'x,y,z'
loop_
_atom_site_label
_atom_site_fract_x
_atom_site_fract_y
_atom_site_fract_z
_atom_site_occupancy
Cr1 0.0000 0.0000 0.0000 1
Cr2 0.5000 0.5000 0.2405 1
Cr3 0.5000 0.5000 0.7595 1
Se1 0.0000 0.0000 0.5000 1
```

=====

Most stable structure, least stable structure: Q, P.

=====

--- P ---
## TaCrSe2 (meta-GGA SCAN)

Data for TaCrSe2 at its PBEsol-relaxed geometry.

Geometry as CIF:
```
data_TaCrSe2
_chemical_formula_sum 'Ta1 Cr1 Se2'
_cell_length_a 4.3032
_cell_length_b 4.3032
_cell_length_c 5.4777
_cell_angle_alpha 97.37
_cell_angle_beta 97.37
_cell_angle_gamma 44.93
_space_group_name_H-M_alt 'P 1'
_space_group_IT_number 1
loop_
_space_group_symop_operation_xyz
'x,y,z'
loop_
_atom_site_label
_atom_site_fract_x
_atom_site_fract_y
_atom_site_fract_z
_atom_site_occupancy
Ta1 0.0000 0.0000 0.0000 1
Cr1 0.5000 0.5000 0.5000 1
Se1 0.2796 0.2796 0.7662 1
Se2 0.7204 0.7204 0.2338 1
```

=====

--- Q ---
## TaCrSe2 (meta-GGA SCAN)

Data for TaCrSe2 at its PBEsol-relaxed geometry.

Geometry as CIF:
```
data_TaCrSe2
_chemical_formula_sum 'Ta1 Cr1 Se2'
_cell_length_a 3.2180
_cell_length_b 3.2180
_cell_length_c 6.4666
_cell_angle_alpha 90.00
_cell_angle_beta 90.00
_cell_angle_gamma 90.00
_space_group_name_H-M_alt 'P 1'
_space_group_IT_number 1
loop_
_space_group_symop_operation_xyz
'x,y,z'
loop_
_atom_site_label
_atom_site_fract_x
_atom_site_fract_y
_atom_site_fract_z
_atom_site_occupancy
Ta1 0.0000 0.0000 0.0000 1
Cr1 0.0000 0.0000 0.5000 1
Se1 0.5000 0.5000 0.2358 1
Se2 0.5000 0.5000 0.7642 1
```

=====

Most stable structure, least stable structure: Q, P.